(1)
The following is a DFT calculation (GGA-PBE) of an optimized crystal structure of Cs2ZnAu.

abc: 8.8573 8.8573 8.8573
angles: 90.00 90.00 90.00
Sites, in units of the cell vectors:
Cs: 0.2500 0.2500 0.2500
Cs: 0.2500 0.2500 0.7500
Cs: 0.2500 0.7500 0.2500
Cs: 0.2500 0.7500 0.7500
Cs: 0.7500 0.2500 0.2500
Cs: 0.7500 0.2500 0.7500
Cs: 0.7500 0.7500 0.2500
Cs: 0.7500 0.7500 0.7500
Zn: 0.0000 0.0000 0.0000
Zn: 0.0000 0.5000 0.5000
Zn: 0.5000 0.0000 0.5000
Zn: 0.5000 0.5000 0.0000
Au: 0.0000 0.0000 0.5000
Au: 0.0000 0.5000 0.0000
Au: 0.5000 0.0000 0.0000
Au: 0.5000 0.5000 0.5000

Its total magnetization is 0.000 μB per cell. For the electronic total energy, the calculation gives -1.582 eV per atom. Its offset from the most stable computed form is 146 meV/atom. Its formation energy is -0.4 kcal/mol of atoms.

(2)
The following is a DFT calculation (GGA-PBE) of an optimized crystal structure of CsZnAu4.

abc: 7.0141 7.0141 6.9713
angles: 98.03 98.03 65.67
Sites, in units of the cell vectors:
Cs: 0.2040 0.2040 0.3885
Cs: 0.7960 0.7960 0.6115
Zn: 0.4994 0.4994 0.8131
Zn: 0.5006 0.5006 0.1869
Au: 0.0922 0.7282 0.1267
Au: 0.2718 0.9078 0.8733
Au: 0.2997 0.2997 0.9326
Au: 0.3056 0.6944 0.5000
Au: 0.6944 0.3056 0.5000
Au: 0.7003 0.7003 0.0674
Au: 0.7282 0.0922 0.1267
Au: 0.9078 0.2718 0.8733

Its total magnetization is 0.000 μB per cell. For the electronic total energy, the calculation gives -2.713 eV per atom. Its offset from the most stable computed form is 0 meV/atom. Its formation energy is -4.0 kcal/mol of atoms.

(3)
The following is a DFT calculation (GGA-PBE) of an optimized crystal structure of CsZn3Au2.

abc: 8.7418 8.7418 9.0783
angles: 113.34 113.34 30.70
Sites, in units of the cell vectors:
Cs: 0.1443 0.1443 0.0936
Cs: 0.8557 0.8557 0.9064
Zn: 0.0184 0.0184 0.6570
Zn: 0.2997 0.2997 0.5336
Zn: 0.3958 0.3958 0.3579
Zn: 0.6042 0.6042 0.6421
Zn: 0.7003 0.7003 0.4664
Zn: 0.9816 0.9816 0.3429
Au: 0.1569 0.1569 0.5787
Au: 0.4694 0.4694 0.7168
Au: 0.5306 0.5306 0.2832
Au: 0.8431 0.8431 0.4213

Its total magnetization is 0.000 μB per cell. For the electronic total energy, the calculation gives -2.063 eV per atom. Its formation energy is -4.4 kcal/mol of atoms.

(4)
The following is a DFT calculation (GGA-PBE) of an optimized crystal structure of CsZn2Au2.

abc: 8.7886 3.9398 8.9331
angles: 90.00 117.28 90.00
Sites, in units of the cell vectors:
Cs: 0.0000 0.0000 0.0000
Cs: 0.5000 0.5000 0.0000
Zn: 0.0784 0.5000 0.4003
Zn: 0.4216 0.0000 0.5997
Zn: 0.5784 0.0000 0.4003
Zn: 0.9216 0.5000 0.5997
Au: 0.1589 0.0000 0.6542
Au: 0.3411 0.5000 0.3458
Au: 0.6589 0.5000 0.6542
Au: 0.8411 0.0000 0.3458

Its total magnetization is 0.000 μB per cell. For the electronic total energy, the calculation gives -2.124 eV per atom. Its offset from the most stable computed form is 72 meV/atom. Its formation energy is -3.1 kcal/mol of atoms.

(5)
The following is a DFT calculation (GGA-PBE) of an optimized crystal structure of CsZn3Au.

abc: 5.1287 5.1287 5.1287
angles: 90.00 90.00 90.00
Sites, in units of the cell vectors:
Cs: 0.0000 0.0000 0.0000
Zn: 0.0000 0.5000 0.5000
Zn: 0.5000 0.0000 0.5000
Zn: 0.5000 0.5000 0.0000
Au: 0.5000 0.5000 0.5000

Its total magnetization is 0.000 μB per cell. For the electronic total energy, the calculation gives -1.636 eV per atom. Its offset from the most stable computed form is 0 meV/atom. Its formation energy is -1.0 kcal/mol of atoms.

(6)
The following is a DFT calculation (GGA-PBE) of an optimized crystal structure of Cs12Zn3Au5.

abc: 19.0873 19.0873 19.0873
angles: 109.47 109.47 109.47
Sites, in units of the cell vectors:
Cs: 0.0397 0.2138 0.1255
Cs: 0.0397 0.3259 0.9143
Cs: 0.0857 0.6255 0.4117
Cs: 0.0857 0.9603 0.6741
Cs: 0.0883 0.7138 0.6741
Cs: 0.0883 0.8745 0.4143
Cs: 0.1255 0.0397 0.2138
Cs: 0.1255 0.5857 0.9117
Cs: 0.1741 0.2138 0.5883
Cs: 0.1741 0.4603 0.5857
Cs: 0.2138 0.1255 0.0397
Cs: 0.2138 0.5883 0.1741
Cs: 0.2862 0.3259 0.9117
Cs: 0.2862 0.4603 0.3745
Cs: 0.3259 0.9117 0.2862
Cs: 0.3259 0.9143 0.0397
Cs: 0.3745 0.2862 0.4603
Cs: 0.3745 0.5883 0.9143
Cs: 0.4117 0.0857 0.6255
Cs: 0.4117 0.8259 0.7862
Cs: 0.4143 0.0883 0.8745
Cs: 0.4143 0.8259 0.5397
Cs: 0.4603 0.3745 0.2862
Cs: 0.4603 0.5857 0.1741
Cs: 0.5397 0.4143 0.8259
Cs: 0.5397 0.6255 0.7138
Cs: 0.5857 0.1741 0.4603
Cs: 0.5857 0.9117 0.1255
Cs: 0.5883 0.1741 0.2138
Cs: 0.5883 0.9143 0.3745
Cs: 0.6255 0.4117 0.0857
Cs: 0.6255 0.7138 0.5397
Cs: 0.6741 0.0857 0.9603
Cs: 0.6741 0.0883 0.7138
Cs: 0.7138 0.5397 0.6255
Cs: 0.7138 0.6741 0.0883
Cs: 0.7862 0.4117 0.8259
Cs: 0.7862 0.8745 0.9603
Cs: 0.8259 0.5397 0.4143
Cs: 0.8259 0.7862 0.4117
Cs: 0.8745 0.4143 0.0883
Cs: 0.8745 0.9603 0.7862
Cs: 0.9117 0.1255 0.5857
Cs: 0.9117 0.2862 0.3259
Cs: 0.9143 0.0397 0.3259
Cs: 0.9143 0.3745 0.5883
Cs: 0.9603 0.6741 0.0857
Cs: 0.9603 0.7862 0.8745
Zn: 0.1250 0.2500 0.3750
Zn: 0.1250 0.3750 0.7500
Zn: 0.2500 0.3750 0.1250
Zn: 0.2500 0.8750 0.6250
Zn: 0.3750 0.1250 0.2500
Zn: 0.3750 0.7500 0.1250
Zn: 0.6250 0.2500 0.8750
Zn: 0.6250 0.8750 0.7500
Zn: 0.7500 0.1250 0.3750
Zn: 0.7500 0.6250 0.8750
Zn: 0.8750 0.6250 0.2500
Zn: 0.8750 0.7500 0.6250
Au: 0.0000 0.0000 0.0000
Au: 0.0000 0.0000 0.5000
Au: 0.0000 0.5000 0.0000
Au: 0.0000 0.5000 0.5000
Au: 0.1250 0.7500 0.8750
Au: 0.1250 0.8750 0.2500
Au: 0.2500 0.1250 0.8750
Au: 0.2500 0.6250 0.3750
Au: 0.3750 0.2500 0.6250
Au: 0.3750 0.6250 0.7500
Au: 0.5000 0.0000 0.0000
Au: 0.5000 0.0000 0.5000
Au: 0.5000 0.5000 0.0000
Au: 0.5000 0.5000 0.5000
Au: 0.6250 0.3750 0.2500
Au: 0.6250 0.7500 0.3750
Au: 0.7500 0.3750 0.6250
Au: 0.7500 0.8750 0.1250
Au: 0.8750 0.1250 0.7500
Au: 0.8750 0.2500 0.1250

Its total magnetization is 5.844 μB per cell. For the electronic total energy, the calculation gives -1.544 eV per atom. Its formation energy is -0.5 kcal/mol of atoms.

(7)
The following is a DFT calculation (GGA-PBE) of an optimized crystal structure of Cs3ZnAu.

abc: 6.9734 6.9734 6.9734
angles: 90.00 90.00 90.00
Sites, in units of the cell vectors:
Cs: 0.0000 0.0000 0.5000
Cs: 0.0000 0.5000 0.0000
Cs: 0.5000 0.0000 0.0000
Zn: 0.5000 0.5000 0.5000
Au: 0.0000 0.0000 0.0000

Its total magnetization is 0.797 μB per cell. For the electronic total energy, the calculation gives -1.382 eV per atom. Its offset from the most stable computed form is 170 meV/atom. Its formation energy is 0.9 kcal/mol of atoms.

(8)
The following is a DFT calculation (GGA-PBE) of an optimized crystal structure of Cs5ZnAu2.

abc: 8.6944 8.6944 25.4655
angles: 90.00 90.00 144.88
Sites, in units of the cell vectors:
Cs: 0.0896 0.9104 0.6345
Cs: 0.0896 0.9104 0.8655
Cs: 0.3095 0.6905 0.7500
Cs: 0.3636 0.6364 0.5616
Cs: 0.3636 0.6364 0.9384
Cs: 0.6364 0.3636 0.0616
Cs: 0.6364 0.3636 0.4384
Cs: 0.6905 0.3095 0.2500
Cs: 0.9104 0.0896 0.1345
Cs: 0.9104 0.0896 0.3655
Zn: 0.0388 0.9612 0.2500
Zn: 0.9612 0.0388 0.7500
Au: 0.1239 0.8761 0.1614
Au: 0.1239 0.8761 0.3386
Au: 0.8761 0.1239 0.6614
Au: 0.8761 0.1239 0.8386

Its total magnetization is 0.000 μB per cell. For the electronic total energy, the calculation gives -1.611 eV per atom. Its formation energy is -2.3 kcal/mol of atoms.